The following is a PBE calculation of a relaxed structure of Rb3Ce2FeSe6, from Alexandria via LeMat-Bulk.

Output
Uncorrected formation energy ... -15.12 eV per formula unit

a = 7.339 Å, b = 12.706 Å, c = 8.322 Å
α = 90.00°, β = 107.15°, γ = 90.00°
Space group C2/m (No. 12)
Unique sites:
Rb1 0.000 0.000 0.000 (multiplicity 2)
Rb2 0.000 0.332 0.000 (multiplicity 4)
Ce1 0.000 0.166 0.500 (multiplicity 4)
Fe1 0.000 0.500 0.500 (multiplicity 2)
Se1 0.222 0.342 0.690 (multiplicity 8)
Se2 0.247 0.000 0.692 (multiplicity 4)


The following is a PBE calculation of a relaxed structure of ErTm2S4, from Alexandria via LeMat-Bulk.

Output
Uncorrected formation energy ... -14.23 eV per formula unit
Energy relative to the lowest polymorph listed for this composition ... 33 meV per atom

a = 3.755 Å, b = 12.719 Å, c = 12.972 Å
α = 90.00°, β = 90.00°, γ = 90.00°
Space group Cmcm (No. 63)
Unique sites:
Er1 0.000 0.127 0.250 (multiplicity 4)
Tm1 0.000 0.370 0.070 (multiplicity 8)
S1 0.000 0.000 0.000 (multiplicity 4)
S2 0.000 0.276 0.622 (multiplicity 8)
S3 0.000 0.472 0.250 (multiplicity 4)


The following is a PBE calculation of a relaxed structure of CoMo3Ru, from Alexandria via LeMat-Bulk.

Output
Energy relative to the lowest polymorph listed for this composition ... 0 meV per atom

a = 4.392 Å, b = 4.392 Å, c = 4.392 Å
α = 90.00°, β = 90.00°, γ = 90.00°
Space group Pm-3m (No. 221)
Unique sites:
Co1 0.000 0.000 0.000 (multiplicity 1)
Mo1 0.000 0.000 0.500 (multiplicity 3)
Ru1 0.500 0.500 0.500 (multiplicity 1)


The following is a PBE calculation of a relaxed structure of Zn2TcMo, from Alexandria via LeMat-Bulk.

Output
Energy relative to the lowest polymorph listed for this composition ... 105 meV per atom

a = 5.275 Å, b = 8.724 Å, c = 2.634 Å
α = 90.00°, β = 103.55°, γ = 90.00°
Space group C2/m (No. 12)
Unique sites:
Zn1 0.250 0.250 0.000 (multiplicity 4)
Tc1 0.000 0.000 0.500 (multiplicity 2)
Mo1 0.000 0.500 0.500 (multiplicity 2)


The following is a PBE calculation of a relaxed structure of La2TlMo, from Alexandria via LeMat-Bulk.

Output
Energy relative to the lowest polymorph listed for this composition ... 0 meV per atom

a = 3.514 Å, b = 3.514 Å, c = 9.022 Å
α = 90.00°, β = 90.00°, γ = 90.00°
Space group P4/mmm (No. 123)
Unique sites:
La1 0.000 0.000 0.208 (multiplicity 2)
Tl1 0.500 0.500 0.500 (multiplicity 1)
Mo1 0.500 0.500 0.000 (multiplicity 1)


The following is a PBE calculation of a relaxed structure of LiSe, from Alexandria via LeMat-Bulk.

Output
Uncorrected formation energy ... -1.33 eV per formula unit
Energy relative to the lowest polymorph listed for this composition ... 242 meV per atom

a = 4.3045 Å, b = 4.3045 Å, c = 10.6684 Å
α = 90.00°, β = 90.00°, γ = 120.00°
Space group P6_3/mmc (No. 194)
Unique sites:
Li1 0.0000 0.0000 0.2500 (multiplicity 2)
Li2 0.3333 0.6667 0.2500 (multiplicity 2)
Se1 0.3333 0.6667 0.6334 (multiplicity 4)


The following is a PBE calculation of a relaxed structure of Hf2VIr, from Alexandria via LeMat-Bulk.

Output
Energy relative to the lowest polymorph listed for this composition ... 909 meV per atom

a = 2.897 Å, b = 4.894 Å, c = 10.971 Å
α = 90.00°, β = 90.00°, γ = 90.00°
Space group Immm (No. 71)
Unique sites:
Hf1 0.000 0.000 0.228 (multiplicity 4)
V1 0.000 0.000 0.500 (multiplicity 2)
Ir1 0.000 0.000 0.000 (multiplicity 2)


The following is a PBE calculation of a relaxed structure of MgInW2, from Alexandria via LeMat-Bulk.

Output
Energy relative to the lowest polymorph listed for this composition ... 169 meV per atom

a = 10.331 Å, b = 3.423 Å, c = 4.385 Å
α = 90.00°, β = 114.93°, γ = 90.00°
Space group C2/m (No. 12)
Unique sites:
Mg1 0.000 0.000 0.000 (multiplicity 2)
In1 0.000 0.500 0.500 (multiplicity 2)
W1 0.249 0.500 0.243 (multiplicity 4)


no.,total energy (eV per atom)
1,-4.938
2,-6.321
3,-8.487
4,-5.798
5,-5.603
6,-3.366
7,-9.057
8,-7.091